(1)
KNa GGA-PBE optimized geometry; calculated density = 1.0 g/cm³; spin magnetization = 0.0 μB/f.u.; SG = P2_1/m, No. 11; formation energy = 0.033 eV/atom
1.0
4.174 0.000 0.000
0.000 5.838 0.000
-1.064 0.000 8.773
K Na
2 2
direct
0.226 0.250 0.345
0.774 0.750 0.655
0.280 0.250 0.900
0.720 0.750 0.100

---

(2)
EuPuGe2 GGA-PBE optimized geometry; polymorph energy (0 for the lowest one) = 0 meV per atom; calculated density = 9.3 g/cm³; spin magnetization = 12.5 μB/f.u.; SG = P4/mmm, No. 123; formation energy = -0.448 eV/atom
1.0
3.883 0.000 0.000
0.000 3.883 0.000
0.000 0.000 6.394
Eu Pu Ge
1 1 2
direct
0.000 0.000 0.000
0.000 0.000 0.500
0.500 0.500 0.293
0.500 0.500 0.707

---

(3)
NbGeTePO GGA-PBE optimized geometry; polymorph energy (0 for the lowest one) = 138 meV per atom; calculated density = 5.7 g/cm³; spin magnetization = 0.0 μB/f.u.; SG = Cm, No. 8; E_form (uncorrected) = -576 meV/atom
1.0
9.600 -1.490 0.000
9.600 1.490 0.000
-0.030 0.000 3.441
Nb Ge Te P O
1 1 1 1 1
direct
0.000 0.000 0.000
0.344 0.344 0.584
0.214 0.214 0.011
0.560 0.560 0.503
0.421 0.421 0.997

---

(4)
BaSr2PbO GGA-PBE optimized geometry; calculated density = 5.8 g/cm³; spin magnetization = 0.0 μB/f.u.; SG = P4/mmm, No. 123; E_form (uncorrected) = -1399 meV/atom
1.0
5.274 0.000 0.000
0.000 5.274 0.000
0.000 0.000 5.471
Ba Sr Pb O
1 2 1 1
direct
0.000 0.000 0.000
0.000 0.500 0.500
0.500 0.000 0.500
0.500 0.500 0.000
0.000 0.000 0.500

---

(5)
TlZnW GGA-PBE optimized geometry; polymorph energy (0 for the lowest one) = 120 meV per atom; calculated density = 13.5 g/cm³; spin magnetization = 0.0 μB/f.u.; SG = Imm2, No. 44; formation energy = 0.810 eV/atom
1.0
-1.468 1.894 5.025
1.468 -1.894 5.025
1.468 1.894 -5.025
Tl Zn W
1 1 1
direct
0.000 0.000 0.000
0.311 0.311 0.000
0.693 0.693 0.000

---

(6)
Tm2MgSi GGA-PBE optimized geometry; calculated density = 5.0 g/cm³; spin magnetization = 0.0 μB/f.u.; SG = R-3m, No. 166; E_form (uncorrected) = 60 meV/atom
1.0
1.959 1.131 9.825
-1.959 1.131 9.825
0.000 -2.262 9.825
Tm Mg Si
2 1 1
direct
0.114 0.114 0.114
0.886 0.886 0.886
0.000 0.000 0.000
0.500 0.500 0.500

---

(7)
CaPm12Tl3 GGA-PBE optimized geometry; calculated density = 7.8 g/cm³; spin magnetization = 0.0 μB/f.u.; SG = P4/mmm, No. 123; formation energy = -0.121 eV/atom
1.0
4.981 0.000 0.000
0.000 4.981 0.000
0.000 0.000 20.427
Ca Pm Tl
1 12 3
direct
0.000 0.000 0.000
0.000 0.500 0.135
0.000 0.500 0.378
0.000 0.500 0.622
0.000 0.500 0.865
0.500 0.000 0.135
0.500 0.000 0.378
0.500 0.000 0.622
0.500 0.000 0.865
0.500 0.500 0.000
0.500 0.500 0.256
0.500 0.500 0.500
0.500 0.500 0.744
0.000 0.000 0.258
0.000 0.000 0.500
0.000 0.000 0.742

---

(8)
Sm4Dy2Th GGA-PBE optimized geometry; polymorph energy (0 for the lowest one) = 0 meV per atom; calculated density = 8.3 g/cm³; spin magnetization = 0.0 μB/f.u.; SG = Cm, No. 8; formation energy = 0.035 eV/atom
1.0
3.131 -1.807 0.000
3.131 1.807 0.000
-2.144 0.000 20.436
Sm Dy Th
4 2 1
direct
0.000 0.000 0.000
0.430 0.430 0.284
0.520 0.520 0.566
0.904 0.904 0.713
0.719 0.719 0.142
0.810 0.810 0.425
0.619 0.619 0.856

---

The highest spin magnetization belongs to which entry? EuPuGe2

---

Look up the calculated density of the eighth one. 8.3 g/cm³

---

The highest calculated density belongs to which entry? TlZnW